Computed, not measured: CeZrHg2 after structural relaxation at the GGA-PBE level of DFT.

The structure belongs to space group P4/mmm (No. 123); the cell edges are 4.6042, 4.6042 and 4.5329 Å and the angles 90.00°, 90.00° and 90.00°. Symmetry generates all atoms from Ce at (0.0000, 0.0000, 0.0000), Zr at (0.5000, 0.5000, 0.0000) and Hg at (0.0000, 0.5000, 0.5000).

Its volume is 24.02 Å³/atom. The formation energy is -0.63 eV/f.u. The calculation puts the energy above the most stable polymorph in this dataset at 6.40 kJ/mol of atoms. Its size of the total moment is 1.3 μB per formula unit.

***

Computed, not measured: LaBI after structural relaxation at the GGA-PBE level of DFT.

The structure belongs to space group Immm (No. 71); the cell edges are 4.5624, 5.0063 and 17.3535 Å and the angles 90.00°, 90.00° and 90.00°. Symmetry generates all atoms from La at (0.0000, 0.0000, 0.1122), B at (0.1654, 0.5000, 0.5000) and I at (0.0000, 0.0000, 0.3237).

Its volume is 33.03 Å³/atom. As for the uncorrected formation energy: -298 meV per atom. Its size of the total moment is 0.0 μB per formula unit.

***

Computed, not measured: ScSbAs after structural relaxation at the GGA-PBE level of DFT.

The structure belongs to space group R-3m (No. 166, hexagonal axes); the cell edges are 4.9315, 4.9315 and 21.2501 Å and the angles 90.00°, 90.00° and 120.00°. Symmetry generates all atoms from Sc at (0.0000, 0.0000, 0.0928), Sb at (0.0000, 0.0000, 0.3551) and As at (0.0000, 0.0000, 0.2217).

Its volume is 24.86 Å³/atom. As for the uncorrected formation energy: -356 meV per atom. The calculation puts the energy above the most stable polymorph in this dataset at 29.37 kJ/mol of atoms. Its size of the total moment is 0.0 μB per formula unit.

***

Computed, not measured: TiBeZn2Ru after structural relaxation at the GGA-PBE level of DFT.

The structure belongs to space group P4/mmm (No. 123); the cell edges are 4.0944, 4.0944 and 4.2278 Å and the angles 90.00°, 90.00° and 90.00°. Symmetry generates all atoms from Ti at (0.0000, 0.0000, 0.0000), Be at (0.5000, 0.5000, 0.5000), Zn at (0.0000, 0.5000, 0.5000) and Ru at (0.5000, 0.5000, 0.0000).

Its volume is 14.18 Å³/atom. The formation energy is 1.00 eV/f.u. Its size of the total moment is 0.0 μB per formula unit.

***

Computed, not measured: Ca14Si19 after structural relaxation at the GGA-PBE level of DFT.

The structure belongs to space group R-3c (No. 167, hexagonal axes); the cell edges are 8.6572, 8.6572 and 68.6594 Å and the angles 90.00°, 90.00° and 120.00°. Symmetry generates all atoms from Ca at (0.0000, 0.0000, 0.0000), Ca at (0.0000, 0.0000, 0.0546), Ca at (0.0000, 0.0000, 0.1100), Ca at (0.0000, 0.2491, 0.2500), Ca at (0.0038, 0.2440, 0.1870), Si at (0.0000, 0.0000, 0.1530), Si at (0.0000, 0.0000, 0.2189), Si at (0.0000, 0.4155, 0.7500), Si at (0.0070, 0.2788, 0.7199) and Si at (0.0221, 0.4285, 0.8092).

Its volume is 22.51 Å³/atom. As for the uncorrected formation energy: -466 meV per atom. Its size of the total moment is 0.0 μB per formula unit.

***

Computed, not measured: CaPmGe2 after structural relaxation at the GGA-PBE level of DFT.

The structure belongs to space group P4/mmm (No. 123); the cell edges are 4.8403, 4.8403 and 4.1089 Å and the angles 90.00°, 90.00° and 90.00°. Symmetry generates all atoms from Ca at (0.0000, 0.0000, 0.0000), Pm at (0.5000, 0.5000, 0.0000) and Ge at (0.0000, 0.5000, 0.5000).

Its volume is 24.07 Å³/atom. The formation energy is -2.28 eV/f.u. Its size of the total moment is 0.0 μB per formula unit.

***

Computed, not measured: Mg2SnPb after structural relaxation at the GGA-PBE level of DFT.

The structure belongs to space group P4/mmm (No. 123); the cell edges are 3.4401, 3.4401 and 8.4822 Å and the angles 90.00°, 90.00° and 90.00°. Symmetry generates all atoms from Mg at (0.0000, 0.0000, 0.2416), Sn at (0.5000, 0.5000, 0.0000) and Pb at (0.5000, 0.5000, 0.5000).

Its volume is 25.10 Å³/atom. The formation energy is -0.32 eV/f.u. Its size of the total moment is 0.0 μB per formula unit.

***

Computed, not measured: FeRh2Cl after structural relaxation at the GGA-PBE level of DFT.

The structure belongs to space group Immm (No. 71); the cell edges are 2.8065, 4.2250 and 10.5821 Å and the angles 90.00°, 90.00° and 90.00°. Symmetry generates all atoms from Fe at (0.0000, 0.0000, 0.0000), Rh at (0.0000, 0.5000, 0.2899) and Cl at (0.0000, 0.0000, 0.5000).

Its volume is 15.68 Å³/atom. As for the uncorrected formation energy: 439 meV per atom. Its size of the total moment is 4.5 μB per formula unit.

***

Computed, not measured: In2CuOsPb after structural relaxation at the GGA-PBE level of DFT.

The structure belongs to space group P4/mmm (No. 123); the cell edges are 5.7556, 5.7556 and 4.8221 Å and the angles 90.00°, 90.00° and 90.00°. Symmetry generates all atoms from In at (0.0000, 0.5000, 0.0000), Cu at (0.0000, 0.0000, 0.5000), Os at (0.5000, 0.5000, 0.5000) and Pb at (0.0000, 0.0000, 0.0000).

Its volume is 31.95 Å³/atom. The formation energy is 8.65 eV/f.u. Its size of the total moment is 2.9 μB per formula unit.

***

Computed, not measured: HgIrW after structural relaxation at the GGA-PBE level of DFT.

The structure belongs to space group I4mm (No. 107); the cell edges are 2.8884, 2.8884 and 12.2977 Å and the angles 90.00°, 90.00° and 90.00°. Symmetry generates all atoms from Hg at (0.0000, 0.0000, 0.0000), Ir at (0.0000, 0.0000, 0.6816) and W at (0.0000, 0.0000, 0.3179).

Its volume is 17.10 Å³/atom. The formation energy is 0.71 eV/f.u. The calculation puts the energy above the most stable polymorph in this dataset at 0.00 kJ/mol of atoms. Its size of the total moment is 0.0 μB per formula unit.

***

Computed, not measured: KInPb after structural relaxation at the GGA-PBE level of DFT.

The structure belongs to space group Pmmm (No. 47); the cell edges are 3.5633, 5.6129 and 9.7301 Å and the angles 90.00°, 90.00° and 90.00°. Symmetry generates all atoms from K at (0.0000, 0.0000, 0.0000), K at (0.0000, 0.5000, 0.5000), In at (0.5000, 0.0000, 0.3391) and Pb at (0.5000, 0.5000, 0.1716).

Its volume is 32.43 Å³/atom. The formation energy is -0.26 eV/f.u. Its size of the total moment is 0.0 μB per formula unit.

***

Computed, not measured: Rb2Na2Br after structural relaxation at the GGA-PBE level of DFT.

The structure belongs to space group P4/mbm (No. 127); the cell edges are 9.1240, 9.1240 and 7.1982 Å and the angles 90.00°, 90.00° and 90.00°. Symmetry generates all atoms from Rb at (0.1833, 0.3167, 0.0000), Na at (0.1337, 0.6337, 0.5000) and Br at (0.0000, 0.0000, 0.0000).

Its volume is 59.92 Å³/atom. As for the uncorrected formation energy: -477 meV per atom. The calculation puts the energy above the most stable polymorph in this dataset at 0.00 kJ/mol of atoms. Its size of the total moment is 0.0 μB per formula unit.

***

Computed, not measured: Sm2ErSi2Pt7 after structural relaxation at the GGA-PBE level of DFT.

The structure belongs to space group C2/m (No. 12); the cell edges are 5.7686, 5.7206 and 13.8229 Å and the angles 90.00°, 98.11° and 90.00°. Symmetry generates all atoms from Sm at (0.1090, 0.0000, 0.3551), Er at (0.0000, 0.0000, 0.0000), Si at (0.0872, 0.5000, 0.2532), Pt at (0.0000, 0.5000, 0.0000), Pt at (0.1226, 0.5000, 0.4248) and Pt at (0.1955, 0.2504, 0.8419).

Its volume is 18.82 Å³/atom. As for the uncorrected formation energy: -1133 meV per atom. Its size of the total moment is 0.0 μB per formula unit.

***

Computed, not measured: Mg3TaF after structural relaxation at the GGA-PBE level of DFT.

The structure belongs to space group Pm-3m (No. 221); the cell edges are 4.4267, 4.4267 and 4.4267 Å and the angles 90.00°, 90.00° and 90.00°. Symmetry generates all atoms from Mg at (0.0000, 0.0000, 0.5000), Ta at (0.5000, 0.5000, 0.5000) and F at (0.0000, 0.0000, 0.0000).

Its volume is 17.35 Å³/atom. As for the uncorrected formation energy: -403 meV per atom. The calculation puts the energy above the most stable polymorph in this dataset at 0.00 kJ/mol of atoms. Its size of the total moment is 1.6 μB per formula unit.

***

Computed, not measured: Ta2BeCr after structural relaxation at the GGA-PBE level of DFT.

The structure belongs to space group P4/mmm (No. 123); the cell edges are 4.2367, 4.2367 and 3.1852 Å and the angles 90.00°, 90.00° and 90.00°. Symmetry generates all atoms from Ta at (0.0000, 0.5000, 0.0000), Be at (0.0000, 0.0000, 0.5000) and Cr at (0.5000, 0.5000, 0.5000).

Its volume is 14.29 Å³/atom. The formation energy is -0.03 eV/f.u. Its size of the total moment is 0.0 μB per formula unit.

***

Computed, not measured: CaIn3Au3 after structural relaxation at the GGA-PBE level of DFT.

The structure belongs to space group Pm-3n (No. 223); the cell edges are 7.5895, 7.5895 and 7.5895 Å and the angles 90.00°, 90.00° and 90.00°. Symmetry generates all atoms from Ca at (0.0000, 0.0000, 0.0000), In at (0.0000, 0.2500, 0.5000) and Au at (0.0000, 0.5000, 0.2500).

Its volume is 31.23 Å³/atom. The formation energy is -0.36 eV/f.u. The calculation puts the energy above the most stable polymorph in this dataset at 31.15 kJ/mol of atoms. Its size of the total moment is 0.0 μB per formula unit.

***

Computed, not measured: NaSrLiBr4 after structural relaxation at the GGA-PBE level of DFT.

The structure belongs to space group Imma (No. 74); the cell edges are 8.3824, 8.8555 and 12.1336 Å and the angles 90.00°, 90.00° and 90.00°. Symmetry generates all atoms from Na at (0.2500, 0.2500, 0.2500), Sr at (0.0000, 0.0000, 0.0000), Li at (0.0000, 0.2500, 0.6398), Br at (0.0000, 0.0044, 0.2509) and Br at (0.2468, 0.2500, 0.4994).

Its volume is 32.17 Å³/atom. As for the uncorrected formation energy: -1774 meV per atom. Its size of the total moment is 0.0 μB per formula unit.

***

Computed, not measured: Na6SrIn6 after structural relaxation at the GGA-PBE level of DFT.

The structure belongs to space group Immm (No. 71); the cell edges are 6.3617, 10.9914 and 10.9981 Å and the angles 90.00°, 90.00° and 90.00°. Symmetry generates all atoms from Na at (0.0000, 0.0000, 0.1482), Na at (0.0000, 0.3400, 0.5000), Na at (0.0000, 0.5000, 0.2026), Sr at (0.0000, 0.0000, 0.5000), In at (0.0000, 0.2853, 0.0000) and In at (0.2500, 0.2500, 0.2500).

Its volume is 29.58 Å³/atom. The formation energy is -1.67 eV/f.u. Its size of the total moment is 0.0 μB per formula unit.

***

Computed, not measured: PrY6Ho8 after structural relaxation at the GGA-PBE level of DFT.

The structure belongs to space group R-3 (No. 148, hexagonal axes); the cell edges are 9.0442, 9.0442 and 20.5764 Å and the angles 90.00°, 90.00° and 120.00°. Symmetry generates all atoms from Pr at (0.0000, 0.0000, 0.0000), Y at (0.0598, 0.8146, 0.7075), Ho at (0.0000, 0.0000, 0.4239) and Ho at (0.0809, 0.5277, 0.8085).

Its volume is 32.39 Å³/atom. The formation energy is 1.93 eV/f.u. Its size of the total moment is 0.0 μB per formula unit.

***

Computed, not measured: LiLaRu3 after structural relaxation at the GGA-PBE level of DFT.

The structure belongs to space group Pm-3m (No. 221); the cell edges are 4.3782, 4.3782 and 4.3782 Å and the angles 90.00°, 90.00° and 90.00°. Symmetry generates all atoms from Li at (0.0000, 0.0000, 0.0000), La at (0.5000, 0.5000, 0.5000) and Ru at (0.0000, 0.0000, 0.5000).

Its volume is 16.79 Å³/atom. The formation energy is 3.26 eV/f.u. The calculation puts the energy above the most stable polymorph in this dataset at 0.00 kJ/mol of atoms. Its size of the total moment is 0.0 μB per formula unit.